No. 1
First-principles (PBE) data for BaHg2Pb2 after structural relaxation, as listed in OQMD via LeMat-Bulk.

Output
The calculation puts the raw total energy at -11.4 eV for the cell shown. The crystal system is monoclinic.

Cell lengths 6.934, 6.934, 6.931 Å; angles 134.30, 134.30, 66.57 degrees
Atoms (fractional coordinates):
1 Ba 0.998 0.998 0.997
2 Hg 0.248 0.754 0.501
3 Pb 0.626 0.626 0.996
4 Pb 0.373 0.373 0.005
5 Hg 0.754 0.248 0.501


No. 2
First-principles (PBE) data for Ba2HgPb after structural relaxation, as listed in OQMD via LeMat-Bulk.

Output
The calculation puts the offset from the most stable computed form at 1 meV/atom. The crystal system is tetragonal.

Cell lengths 6.005, 8.470, 17.997 Å; angles 90.00, 90.00, 90.00 degrees
Atoms (fractional coordinates):
1 Hg 0.000 0.500 0.333
2 Pb 0.000 0.000 0.334
3 Pb 0.000 0.000 0.000
4 Pb 0.500 0.500 0.166
5 Ba 0.500 0.250 0.333
6 Ba 0.000 0.750 0.167
7 Pb 0.500 0.500 0.500
8 Pb 0.500 0.500 0.834
9 Hg 0.500 0.000 0.167
10 Ba 0.000 0.250 0.833
11 Ba 0.000 0.750 0.500
12 Ba 0.500 0.750 0.000
13 Ba 0.500 0.250 0.667
14 Pb 0.000 0.000 0.666
15 Hg 0.000 0.500 0.667
16 Ba 0.000 0.250 0.500
17 Ba 0.500 0.250 0.000
18 Hg 0.500 0.000 0.500
19 Ba 0.000 0.250 0.167
20 Hg 0.500 0.000 0.833
21 Ba 0.000 0.750 0.833
22 Ba 0.500 0.750 0.333
23 Hg 0.000 0.500 0.000
24 Ba 0.500 0.750 0.667


No. 3
First-principles (PBE) data for Ba2HgPb after structural relaxation, as listed in OQMD via LeMat-Bulk.

Output
The calculation puts the offset from the most stable computed form at 1 meV/atom. The crystal system is tetragonal.

Cell lengths 6.006, 8.469, 17.999 Å; angles 90.00, 90.00, 90.00 degrees
Atoms (fractional coordinates):
1 Hg 0.000 0.000 0.667
2 Ba 0.000 0.750 0.167
3 Ba 0.000 0.250 0.167
4 Pb 0.500 0.000 0.167
5 Hg 0.500 0.500 0.833
6 Ba 0.000 0.750 0.500
7 Ba 0.500 0.250 0.667
8 Ba 0.500 0.750 0.333
9 Pb 0.500 0.000 0.833
10 Pb 0.500 0.000 0.500
11 Hg 0.000 0.000 0.000
12 Pb 0.000 0.500 0.000
13 Ba 0.500 0.250 0.333
14 Ba 0.500 0.750 0.667
15 Hg 0.000 0.000 0.333
16 Pb 0.000 0.500 0.667
17 Ba 0.500 0.750 0.000
18 Hg 0.500 0.500 0.167
19 Ba 0.500 0.250 0.000
20 Ba 0.000 0.250 0.833
21 Ba 0.000 0.750 0.833
22 Hg 0.500 0.500 0.500
23 Pb 0.000 0.500 0.333
24 Ba 0.000 0.250 0.500


No. 4
First-principles (PBE) data for BaHg2Pb2 after structural relaxation, as listed in OQMD via LeMat-Bulk.

Output
The calculation puts the raw total energy at -11.7 eV for the cell shown. The crystal system is tetragonal.

Cell lengths 7.406, 7.406, 7.406 Å; angles 140.58, 140.58, 56.98 degrees
Atoms (fractional coordinates):
1 Ba 0.000 0.000 0.000
2 Pb 0.250 0.750 0.500
3 Hg 0.608 0.608 0.000
4 Hg 0.392 0.392 0.000
5 Pb 0.750 0.250 0.500


No. 5
First-principles (PBE) data for Ba2HgPb after structural relaxation, as listed in OQMD via LeMat-Bulk.

Output
The calculation puts the offset from the most stable computed form at 4 meV/atom. The crystal system is orthorhombic.

Cell lengths 8.288, 6.057, 12.107 Å; angles 90.00, 90.00, 90.00 degrees
Atoms (fractional coordinates):
1 Pb 0.250 0.250 0.123
2 Pb 0.250 0.250 0.623
3 Hg 0.750 0.250 0.622
4 Hg 0.750 0.250 0.122
5 Ba 0.500 0.750 0.127
6 Hg 0.250 0.750 0.878
7 Pb 0.750 0.750 0.877
8 Ba 0.000 0.750 0.127
9 Ba 0.500 0.750 0.627
10 Pb 0.750 0.750 0.377
11 Ba 0.000 0.250 0.873
12 Ba 0.500 0.250 0.873
13 Ba 0.500 0.250 0.373
14 Ba 0.000 0.750 0.627
15 Hg 0.250 0.750 0.378
16 Ba 0.000 0.250 0.373


No. 6
First-principles (PBE) data for BaHgPb after structural relaxation, as listed in OQMD via LeMat-Bulk.

Output
The calculation puts the raw total energy at -29.1 eV for the cell shown. The crystal system is orthorhombic.

Cell lengths 8.339, 4.936, 10.164 Å; angles 90.00, 90.00, 90.00 degrees
Atoms (fractional coordinates):
1 Ba 0.964 0.250 0.315
2 Hg 0.255 0.250 0.882
3 Hg 0.745 0.750 0.118
4 Pb 0.869 0.250 0.945
5 Pb 0.131 0.750 0.055
6 Ba 0.036 0.750 0.685
7 Hg 0.245 0.750 0.382
8 Ba 0.536 0.750 0.815
9 Pb 0.369 0.250 0.555
10 Pb 0.631 0.750 0.445
11 Ba 0.464 0.250 0.185
12 Hg 0.755 0.250 0.618


No. 7
First-principles (PBE) data for Ba2HgPb after structural relaxation, as listed in OQMD via LeMat-Bulk.

Output
The calculation puts the offset from the most stable computed form at 0 meV/atom. The crystal system is cubic.

Cell lengths 6.003, 6.003, 6.003 Å; angles 60.00, 60.00, 60.00 degrees
Atoms (fractional coordinates):
1 Hg 0.500 0.500 0.500
2 Pb 0.000 0.000 0.000
3 Ba 0.750 0.750 0.750
4 Ba 0.250 0.250 0.250


No. 8
First-principles (PBE) data for Ba2HgPb after structural relaxation, as listed in OQMD via LeMat-Bulk.

Output
The calculation puts the offset from the most stable computed form at 61 meV/atom. The crystal system is tetragonal.

Cell lengths 5.886, 5.886, 4.379 Å; angles 90.00, 90.00, 90.00 degrees
Atoms (fractional coordinates):
1 Ba 0.500 0.000 0.500
2 Hg 0.500 0.500 0.000
3 Ba 0.000 0.500 0.500
4 Pb 0.000 0.000 0.000


No. 9
First-principles (PBE) data for BaHg2PdPb after structural relaxation, as listed in OQMD via LeMat-Bulk.

Output
The calculation puts the raw total energy at -13.0 eV for the cell shown. The crystal system is tetragonal.

Cell lengths 7.191, 7.191, 7.191 Å; angles 141.48, 141.48, 55.61 degrees
Atoms (fractional coordinates):
1 Hg 0.614 0.614 0.000
2 Ba 0.000 0.000 0.000
3 Hg 0.386 0.386 0.000
4 Pb 0.750 0.250 0.500
5 Pd 0.250 0.750 0.500


No. 10
First-principles (PBE) data for BaHgPtPb2 after structural relaxation, as listed in OQMD via LeMat-Bulk.

Output
The calculation puts the raw total energy at -36.0 eV for the cell shown. The crystal system is tetragonal.

Cell lengths 4.979, 4.979, 11.770 Å; angles 90.00, 90.00, 90.00 degrees
Atoms (fractional coordinates):
1 Ba 0.000 0.500 0.254
2 Ba 0.500 0.000 0.746
3 Pt 0.500 0.000 0.385
4 Pb 0.000 0.000 0.500
5 Pb 0.500 0.000 0.154
6 Pb 0.500 0.500 0.500
7 Pb 0.000 0.500 0.846
8 Hg 0.500 0.500 0.000
9 Hg 0.000 0.000 0.000
10 Pt 0.000 0.500 0.615


No. 11
First-principles (PBE) data for BaHgSb2Pb after structural relaxation, as listed in OQMD via LeMat-Bulk.

Output
The calculation puts the raw total energy at -32.7 eV for the cell shown. The crystal system is orthorhombic.

Cell lengths 9.686, 9.686, 7.489 Å; angles 90.00, 90.00, 150.69 degrees
Atoms (fractional coordinates):
1 Ba 0.811 0.189 0.030
2 Ba 0.189 0.811 0.530
3 Pb 0.973 0.027 0.709
4 Sb 0.824 0.176 0.525
5 Sb 0.449 0.551 0.016
6 Hg 0.386 0.614 0.377
7 Sb 0.176 0.824 0.025
8 Hg 0.614 0.386 0.877
9 Sb 0.551 0.449 0.516
10 Pb 0.027 0.973 0.209


No. 12
First-principles (PBE) data for BaSrHgPb after structural relaxation, as listed in OQMD via LeMat-Bulk.

Output
The calculation puts the offset from the most stable computed form at 324 meV/atom. The crystal system is cubic.

Cell lengths 5.808, 5.808, 5.808 Å; angles 60.00, 60.00, 60.00 degrees
Atoms (fractional coordinates):
1 Pb 0.250 0.250 0.250
2 Ba 0.750 0.750 0.750
3 Hg 0.500 0.500 0.500
4 Sr 0.000 0.000 0.000


No. 13
First-principles (PBE) data for BaSrHgPb after structural relaxation, as listed in OQMD via LeMat-Bulk.

Output
The calculation puts the offset from the most stable computed form at 0 meV/atom. The crystal system is cubic.

Cell lengths 5.865, 5.865, 5.865 Å; angles 60.00, 60.00, 60.00 degrees
Atoms (fractional coordinates):
1 Sr 0.250 0.250 0.250
2 Pb 0.000 0.000 0.000
3 Ba 0.750 0.750 0.750
4 Hg 0.500 0.500 0.500


No. 14
First-principles (PBE) data for Ba2Hg2Pd after structural relaxation, as listed in OQMD via LeMat-Bulk.

Output
The calculation puts the offset from the most stable computed form at 213 meV/atom. The crystal system is tetragonal.

Cell lengths 4.257, 4.257, 9.557 Å; angles 102.87, 102.87, 90.00 degrees
Atoms (fractional coordinates):
1 Hg 0.250 0.750 0.500
2 Ba 0.596 0.596 0.193
3 Hg 0.750 0.250 0.500
4 Ba 0.404 0.404 0.807
5 Pd 0.000 0.000 0.000


No. 15
First-principles (PBE) data for Ba3HgPd2 after structural relaxation, as listed in OQMD via LeMat-Bulk.

Output
The calculation puts the raw total energy at -18.0 eV for the cell shown. The crystal system is hexagonal.

Cell lengths 8.236, 8.236, 4.179 Å; angles 90.00, 90.00, 120.03 degrees
Atoms (fractional coordinates):
1 Ba 0.500 0.000 0.500
2 Ba 0.000 0.500 0.500
3 Hg 0.000 0.000 0.000
4 Pd 0.333 0.667 0.000
5 Ba 0.500 0.500 0.500
6 Pd 0.667 0.333 0.000


No. 16
First-principles (PBE) data for Ba3Hg2Pd7 after structural relaxation, as listed in OQMD via LeMat-Bulk.

Output
The calculation puts the raw total energy at -48.8 eV for the cell shown. The crystal system is trigonal.

Cell lengths 9.690, 9.690, 9.690 Å; angles 35.00, 35.00, 35.00 degrees
Atoms (fractional coordinates):
1 Pd 0.500 0.500 0.500
2 Pd 0.418 0.418 0.915
3 Hg 0.333 0.333 0.333
4 Ba 0.140 0.140 0.140
5 Pd 0.915 0.418 0.418
6 Pd 0.582 0.582 0.085
7 Pd 0.582 0.085 0.582
8 Pd 0.085 0.582 0.582
9 Hg 0.667 0.667 0.667
10 Ba 0.000 0.000 0.000
11 Pd 0.418 0.915 0.418
12 Ba 0.860 0.860 0.860


No. 17
First-principles (PBE) data for BaHg2Pd2 after structural relaxation, as listed in OQMD via LeMat-Bulk.

Output
The calculation puts the offset from the most stable computed form at 0 meV/atom. The crystal system is tetragonal.

Cell lengths 4.684, 4.684, 6.662 Å; angles 110.58, 110.58, 90.00 degrees
Atoms (fractional coordinates):
1 Pd 0.615 0.615 0.229
2 Hg 0.750 0.250 0.500
3 Hg 0.250 0.750 0.500
4 Ba 0.000 0.000 0.000
5 Pd 0.385 0.385 0.771


No. 18
First-principles (PBE) data for Ba2Hg2Pd after structural relaxation, as listed in OQMD via LeMat-Bulk.

Output
The calculation puts the offset from the most stable computed form at 0 meV/atom. The crystal system is monoclinic.

Cell lengths 6.651, 6.651, 13.318 Å; angles 115.76, 115.76, 40.37 degrees
Atoms (fractional coordinates):
1 Ba 0.920 0.920 0.114
2 Pd 0.415 0.415 0.691
3 Ba 0.303 0.303 0.362
4 Pd 0.585 0.585 0.309
5 Hg 0.955 0.955 0.590
6 Ba 0.697 0.697 0.638
7 Hg 0.642 0.642 0.125
8 Ba 0.080 0.080 0.886
9 Hg 0.045 0.045 0.410
10 Hg 0.358 0.358 0.875


No. 19
First-principles (PBE) data for BaHgPd2 after structural relaxation, as listed in OQMD via LeMat-Bulk.

Output
The calculation puts the raw total energy at -13.1 eV for the cell shown. The crystal system is cubic.

Cell lengths 5.158, 5.158, 5.158 Å; angles 60.00, 60.00, 60.00 degrees
Atoms (fractional coordinates):
1 Pd 0.250 0.250 0.250
2 Hg 0.500 0.500 0.500
3 Pd 0.000 0.000 0.000
4 Ba 0.750 0.750 0.750


No. 20
First-principles (PBE) data for BaHgPd after structural relaxation, as listed in OQMD via LeMat-Bulk.

Output
The calculation puts the raw total energy at -8.8 eV for the cell shown. The crystal system is cubic.

Cell lengths 5.124, 5.124, 5.124 Å; angles 60.00, 60.00, 60.00 degrees
Atoms (fractional coordinates):
1 Ba 0.250 0.250 0.250
2 Hg 0.750 0.750 0.750
3 Pd 0.000 0.000 0.000


No. 21
First-principles (PBE) data for BaPrHg after structural relaxation, as listed in OQMD via LeMat-Bulk.

Output
The calculation puts the offset from the most stable computed form at 0 meV/atom. The crystal system is cubic.

Cell lengths 5.386, 5.386, 5.386 Å; angles 60.00, 60.00, 60.00 degrees
Atoms (fractional coordinates):
1 Hg 0.750 0.750 0.750
2 Pr 0.000 0.000 0.000
3 Ba 0.250 0.250 0.250


No. 22
First-principles (PBE) data for Ba2HgPt after structural relaxation, as listed in OQMD via LeMat-Bulk.

Output
The calculation puts the raw total energy at -11.3 eV for the cell shown. The crystal system is cubic.

Cell lengths 5.430, 5.430, 5.430 Å; angles 60.00, 60.00, 60.00 degrees
Atoms (fractional coordinates):
1 Ba 0.000 0.000 0.000
2 Ba 0.250 0.250 0.250
3 Pt 0.750 0.750 0.750
4 Hg 0.500 0.500 0.500


No. 23
First-principles (PBE) data for BaHg2Pt2 after structural relaxation, as listed in OQMD via LeMat-Bulk.

Output
The calculation puts the raw total energy at -16.8 eV for the cell shown. The crystal system is tetragonal.

Cell lengths 6.796, 6.796, 6.796 Å; angles 141.16, 141.16, 56.10 degrees
Atoms (fractional coordinates):
1 Pt 0.607 0.607 0.000
2 Pt 0.393 0.393 0.000
3 Hg 0.750 0.250 0.500
4 Hg 0.250 0.750 0.500
5 Ba 0.000 0.000 0.000


No. 24
First-principles (PBE) data for BaHgPt2 after structural relaxation, as listed in OQMD via LeMat-Bulk.

Output
The calculation puts the raw total energy at -14.4 eV for the cell shown. The crystal system is cubic.

Cell lengths 5.078, 5.078, 5.078 Å; angles 60.00, 60.00, 60.00 degrees
Atoms (fractional coordinates):
1 Pt 0.500 0.500 0.500
2 Pt 0.750 0.750 0.750
3 Ba 0.000 0.000 0.000
4 Hg 0.250 0.250 0.250


No. 25
First-principles (PBE) data for Rb2Ba2Hg3 after structural relaxation, as listed in OQMD via LeMat-Bulk.

Output
The calculation puts the raw total energy at -8.3 eV for the cell shown. The crystal system is trigonal.

Cell lengths 10.349, 10.349, 10.349 Å; angles 33.64, 33.64, 33.64 degrees
Atoms (fractional coordinates):
1 Hg 0.625 0.625 0.625
2 Ba 0.503 0.503 0.503
3 Rb 0.249 0.249 0.249
4 Ba 0.997 0.997 0.997
5 Hg 0.874 0.874 0.874
6 Rb 0.750 0.750 0.750
7 Hg 0.376 0.376 0.376